[1]
Compound: ScMnMoRu
Source: Alexandria via LeMat-Bulk
Functional: PBE
Structure: optimized geometry

a = 6.1955 Å, b = 6.1955 Å, c = 6.1955 Å
α = 90.00°, β = 90.00°, γ = 90.00°
Last column: nearest neighbours and their distance in Å.
Space group F-43m (No. 216)
Asymmetric unit:
Sc 0.0000 0.0000 0.0000 (multiplicity 4)  4 Mn 2.68, 4 Ru 2.68
Mn 0.2500 0.2500 0.7500 (multiplicity 4)  4 Mo 2.68, 4 Sc 2.68
Mo 0.0000 0.0000 0.5000 (multiplicity 4)  4 Mn 2.68, 4 Ru 2.68
Ru 0.2500 0.2500 0.2500 (multiplicity 4)  4 Mo 2.68, 4 Sc 2.68

Computed properties:
Its crystal system is cubic. Its energy of formation from the pure elements is -50 kJ/mol of formula units.

***

[2]
Compound: MnZn2TcSe
Source: Alexandria via LeMat-Bulk
Functional: PBE
Structure: optimized geometry

a = 4.8787 Å, b = 4.8787 Å, c = 4.5636 Å
α = 90.00°, β = 90.00°, γ = 90.00°
Last column: nearest neighbours and their distance in Å.
Space group P4/mmm (No. 123)
Asymmetric unit:
Mn 0.0000 0.0000 0.0000 (multiplicity 1)  2 Tc 2.28
Zn 0.0000 0.5000 0.5000 (multiplicity 2)  2 Tc 2.44
Tc 0.0000 0.0000 0.5000 (multiplicity 1)  2 Mn 2.28, 4 Zn 2.44
Se 0.5000 0.5000 0.0000 (multiplicity 1)  8 Zn 3.34, 4 Mn 3.45

Computed properties:
Its crystal system is tetragonal. The raw formation energy is 900 meV per atom.

***

[3]
Compound: Rb2BSe2
Source: Alexandria via LeMat-Bulk
Functional: PBE
Structure: optimized geometry

a = 6.9949 Å, b = 6.9949 Å, c = 5.5153 Å
α = 90.00°, β = 90.00°, γ = 90.00°
Last column: nearest neighbours and their distance in Å.
Space group P4/mbm (No. 127)
Asymmetric unit:
Rb 0.1577 0.3423 0.0000 (multiplicity 4)  1 Rb 3.12, 2 Se 3.15
B 0.0000 0.0000 0.5000 (multiplicity 2)  4 Se 2.55
Se 0.1884 0.6884 0.5000 (multiplicity 4)  2 B 2.55

Computed properties:
Its crystal system is tetragonal. The raw formation energy is 227 meV per atom. The energy relative to the lowest polymorph listed for this composition comes out at 3.34 eV/f.u.

***

So what do the calculations give for total DFT energy (no corrections)? Going down the list: -9.031 -4.214 -2.889 eV per atom.